DFT (PBE) results for a geometry-optimized LaPrGeBr structure.

## Properties
Energy above the most stable polymorph in this dataset in eV per atom: 0.093
Formation energy from raw total energies in eV per atom: -0.890

abc: 6.056 5.214 5.214
angles: 59.40 90.00 90.00
Sites, in units of the cell vectors:
La1 0.000 0.000 0.000
Pr1 0.500 0.669 0.669
Ge1 0.500 0.000 0.000
Br1 0.000 0.669 0.669